Density functional theory data (PBE-GGA) for an optimized crystal structure of Y3Sb5Se12.

Unit cell a=14.6482 b=14.6482 c=14.6482 alpha=109.47 beta=109.47 gamma=109.47
With the nearest neighbours (Å) after each atom.
Fractional positions:
Se1 0.7231 0.5836 0.1687  2 Sb 2.74-2.87
Se2 0.5836 0.8605 0.4150  2 Sb 2.74-2.87
Se3 0.3605 0.4150 0.0836  2 Sb 2.74-2.87
Se4 0.9455 0.3605 0.2769  2 Sb 2.74-2.87
Se5 0.7769 0.4455 0.3605  2 Sb 2.74-2.87
Se6 0.0850 0.9164 0.1395  2 Sb 2.74-2.87
Se7 0.8605 0.2769 0.4455  2 Sb 2.74-2.87
Se8 0.2769 0.4164 0.8313  2 Sb 2.74-2.87
Se9 0.2231 0.5545 0.6395  2 Sb 2.74-2.87
Se10 0.7769 0.3313 0.9164  2 Sb 2.74-2.87
Se11 0.4150 0.0545 0.3313  2 Sb 2.74-2.87
Se12 0.6687 0.4455 0.5850  2 Sb 2.74-2.87
Se13 0.5850 0.6395 0.4164  2 Sb 2.74-2.87
Se14 0.8313 0.9164 0.2769  2 Sb 2.74-2.87
Se15 0.9150 0.0836 0.8605  2 Sb 2.74-2.87
Se16 0.2231 0.6687 0.0836  2 Sb 2.74-2.87
Se17 0.4164 0.2769 0.3313  2 Sb 2.74-2.87
Se18 0.0836 0.1687 0.2231  2 Sb 2.74-2.87
Se19 0.0545 0.6395 0.7231  2 Sb 2.74-2.87
Se20 0.8605 0.5836 0.9150  2 Sb 2.74-2.87
Se21 0.6687 0.2231 0.5836  2 Sb 2.74-2.87
Se22 0.3605 0.9455 0.7769  2 Sb 2.74-2.87
Se23 0.5545 0.3313 0.9150  2 Sb 2.74-2.87
Se24 0.0836 0.9150 0.3605  2 Sb 2.74-2.87
Se25 0.0850 0.1687 0.4455  2 Sb 2.74-2.87
Se26 0.9150 0.8313 0.5545  2 Sb 2.74-2.87
Se27 0.6395 0.5850 0.9164  2 Sb 2.74-2.87
Se28 0.9164 0.0850 0.6395  2 Sb 2.74-2.87
Se29 0.1687 0.0836 0.7231  2 Sb 2.74-2.87
Se30 0.1395 0.4164 0.0850  2 Sb 2.74-2.87
Se31 0.5545 0.2231 0.1395  2 Sb 2.74-2.87
Se32 0.8313 0.9150 0.0545  2 Sb 2.74-2.87
Se33 0.5836 0.7231 0.6687  2 Sb 2.74-2.87
Se34 0.6395 0.0545 0.2231  2 Sb 2.74-2.87
Se35 0.3313 0.5545 0.4150  2 Sb 2.74-2.87
Se36 0.4164 0.1395 0.5850  2 Sb 2.74-2.87
Se37 0.4455 0.6687 0.0850  2 Sb 2.74-2.87
Se38 0.7231 0.1395 0.0545  2 Sb 2.74-2.87
Se39 0.3313 0.7769 0.4164  2 Sb 2.74-2.87
Se40 0.4455 0.7769 0.8605  2 Sb 2.74-2.87
Se41 0.9164 0.8313 0.7769  2 Sb 2.74-2.87
Se42 0.0545 0.4150 0.8313  2 Sb 2.74-2.87
Se43 0.1687 0.0850 0.9455  2 Sb 2.74-2.87
Se44 0.1395 0.7231 0.5545  2 Sb 2.74-2.87
Se45 0.2769 0.8605 0.9455  2 Sb 2.74-2.87
Se46 0.9455 0.5850 0.1687  2 Sb 2.74-2.87
Se47 0.5850 0.9455 0.6687  2 Sb 2.74-2.87
Se48 0.4150 0.3605 0.5836  2 Sb 2.74-2.87
Sb1 0.0000 0.5000 0.5000  6 Se 2.87
Sb2 0.7500 0.1250 0.8750  4 Se 2.74
Sb3 0.6250 0.8750 0.2500  4 Se 2.74
Sb4 0.3750 0.1250 0.7500  4 Se 2.74
Sb5 0.8750 0.2500 0.6250  4 Se 2.74
Sb6 0.1250 0.7500 0.3750  4 Se 2.74
Sb7 0.5000 0.5000 0.0000  6 Se 2.87
Sb8 0.2500 0.3750 0.6250  4 Se 2.74
Sb9 0.0000 0.0000 0.0000  6 Se 2.87
Sb10 0.1250 0.3750 0.2500  4 Se 2.74
Sb11 0.5000 0.5000 0.5000  6 Se 2.87
Sb12 0.6250 0.7500 0.8750  4 Se 2.74
Sb13 0.0000 0.5000 0.0000  6 Se 2.87
Sb14 0.3750 0.2500 0.1250  4 Se 2.74
Sb15 0.2500 0.8750 0.1250  4 Se 2.74
Sb16 0.0000 0.0000 0.5000  6 Se 2.87
Sb17 0.5000 0.0000 0.0000  6 Se 2.87
Sb18 0.7500 0.6250 0.3750  4 Se 2.74
Sb19 0.5000 0.0000 0.5000  6 Se 2.87
Sb20 0.8750 0.6250 0.7500  4 Se 2.74
Y1 0.1250 0.8750 0.7500  8 Se 3.09-3.11
Y2 0.8750 0.7500 0.1250  8 Se 3.09-3.11
Y3 0.7500 0.3750 0.1250  8 Se 3.09-3.11
Y4 0.6250 0.3750 0.7500  8 Se 3.09-3.11
Y5 0.3750 0.7500 0.6250  8 Se 3.09-3.11
Y6 0.6250 0.2500 0.3750  8 Se 3.09-3.11
Y7 0.1250 0.2500 0.8750  8 Se 3.09-3.11
Y8 0.8750 0.1250 0.2500  8 Se 3.09-3.11
Y9 0.2500 0.6250 0.8750  8 Se 3.09-3.11
Y10 0.3750 0.6250 0.2500  8 Se 3.09-3.11
Y11 0.2500 0.1250 0.3750  8 Se 3.09-3.11
Y12 0.7500 0.8750 0.6250  8 Se 3.09-3.11

Calculated values
As for the uncorrected formation energy: -0.6795 eV per atom. The total energy comes out at -4.770 eV per atom. The total magnetization comes out at 0.00 μB/f.u.